(1)
Entry from Alexandria via LeMat-Bulk: a relaxed structure of Ti3Mn2CoP6O24 (GGA+U).

abc: 8.6488 8.6488 21.0603
angles: 90.00 90.00 120.00
Space group R3 (No. 146, hexagonal axes)
One atom of each set of equivalent atoms:
Ti  0.0000  0.0000  0.0000 x3
Ti  0.0000  0.0000  0.2103 x3
Ti  0.0000  0.0000  0.5032 x3
Mn  0.0000  0.0000  0.3553 x3
Mn  0.0000  0.0000  0.8536 x3
Co  0.0000  0.0000  0.7133 x3
P  0.0017  0.2948  0.6080 x9
P  0.0018  0.7078  0.1064 x9
O  0.0006  0.8105  0.0460 x9
O  0.0070  0.1788  0.2747 x9
O  0.0215  0.8256  0.1646 x9
O  0.0286  0.8343  0.7826 x9
O  0.1326  0.4618  0.3352 x9
O  0.1467  0.4788  0.2145 x9
O  0.1699  0.6869  0.1007 x9
O  0.1733  0.4821  0.5997 x9

## Properties
The calculation puts the spin magnetization at 8.42 μB/cell. The density of states at the Fermi level is 0.21 states/eV/atom. As for the total DFT energy (no corrections): -7.672 eV per atom. The volume comes out at 1364 Å³/cell.



(2)
Entry from Alexandria via LeMat-Bulk: a relaxed structure of MoHPb2O6 (GGA+U).

abc: 5.586 4.537 11.847
angles: 90.00 118.07 90.00
Space group P2_1/c (No. 14)
One atom of each set of equivalent atoms:
Mo  0.000  0.000  0.000 x2
H  0.500  0.000  0.500 x2
Pb  0.317  0.001  0.817 x4
O  0.014  0.730  0.368 x4
O  0.277  0.730  0.633 x4
O  0.342  0.230  0.500 x4

## Properties
The calculation puts the spin magnetization at 0.00 μB/cell. The density of states at the Fermi level is 0.31 states/eV/atom. As for the total DFT energy (no corrections): -5.732 eV per atom. The volume comes out at 265 Å³/cell.